First-principles (PBE-GGA) data for KCoP2 after structural relaxation, as listed in Alexandria via LeMat-Bulk.

Cell: 4.6384 4.6384 4.6384 Å, 60.00 60.00 60.00°
Last column: nearest neighbours and their distance in Å.
Element x y z (fractional)
K 0.0000 0.0000 0.0000  4 Co 2.84, 4 P 2.84
Co 0.7500 0.7500 0.7500  4 K 2.84, 4 P 2.84
P 0.2500 0.2500 0.2500  4 K 2.84, 4 P 2.84
P 0.5000 0.5000 0.5000  4 Co 2.84, 4 P 2.84

Energy relative to the lowest polymorph listed for this composition (eV per atom): 1.284
Formation energy from the elements (eV per atom): 0.944

First-principles (PBE-GGA) data for Sc6ZnPd2 after structural relaxation, as listed in Alexandria via LeMat-Bulk.

Cell: 7.8983 7.8983 7.8983 Å, 111.73 110.65 106.09°
Last column: nearest neighbours and their distance in Å.
Element x y z (fractional)
Sc 0.0439 0.8288 0.2152  3 Pd 2.63-2.89
Sc 0.2428 0.5485 0.3057  2 Pd 2.65-2.93, 1 Zn 2.88
Sc 0.2428 0.9371 0.6943  2 Pd 2.65-2.93, 1 Zn 2.88
Sc 0.2778 0.3194 0.5972  3 Pd 2.88-2.89, 1 Zn 2.97, 1 Sc 3.20
Sc 0.2778 0.6806 0.9584  3 Pd 2.88-2.89, 1 Zn 2.97, 1 Sc 3.20
Sc 0.3864 0.1712 0.2152  3 Pd 2.63-2.89
Sc 0.6136 0.8288 0.7848  3 Pd 2.63-2.89
Sc 0.7222 0.3194 0.0416  3 Pd 2.88-2.89, 1 Zn 2.97, 1 Sc 3.20
Sc 0.7222 0.6806 0.4028  3 Pd 2.88-2.89, 1 Zn 2.97, 1 Sc 3.20
Sc 0.7572 0.0629 0.3057  2 Pd 2.65-2.93, 1 Zn 2.88
Sc 0.7572 0.4515 0.6943  2 Pd 2.65-2.93, 1 Zn 2.88
Sc 0.9561 0.1712 0.7848  3 Pd 2.63-2.89
Zn 0.0000 0.5000 0.5000  8 Sc 2.88-2.97, 2 Pd 3.03
Zn 0.5000 0.0000 0.5000  8 Sc 2.99-3.03
Pd 0.0000 0.1582 0.1582  8 Sc 2.65-2.89, 1 Pd 2.80
Pd 0.0000 0.8418 0.8418  8 Sc 2.65-2.89, 1 Pd 2.80
Pd 0.3594 0.3594 0.0000  8 Sc 2.63-2.93, 1 Pd 2.67
Pd 0.6406 0.6406 0.0000  8 Sc 2.63-2.93, 1 Pd 2.67

Formation energy from the elements (eV per atom): -0.476

First-principles (PBE-GGA) data for MgPRu after structural relaxation, as listed in Alexandria via LeMat-Bulk.

Cell: 3.9708 3.9708 3.4544 Å, 90.00 90.00 120.00°
Last column: nearest neighbours and their distance in Å.
Element x y z (fractional)
Mg 0.0000 0.0000 0.0000  6 Ru 2.87, 6 P 2.87
P 0.6667 0.3333 0.5000  3 Ru 2.29
Ru 0.3333 0.6667 0.5000  3 P 2.29

Formation energy from the elements (eV per atom): -0.431

First-principles (PBE-GGA) data for Er3TeCl2O6 after structural relaxation, as listed in Alexandria via LeMat-Bulk.

Cell: 6.6950 6.6950 5.4491 Å, 98.99 98.99 58.93°
Last column: nearest neighbours and their distance in Å.
Element x y z (fractional)
Er 0.0000 0.0000 0.0000  4 O 2.33
Er 0.0000 0.5000 0.5000  4 O 2.17-2.27
Er 0.5000 0.0000 0.5000  4 O 2.17-2.27
Te 0.5000 0.5000 0.5000  6 O 2.05-2.18
Cl 0.2013 0.2013 0.8429  3 Er 2.63-2.64, 1 O 2.79
Cl 0.7987 0.7987 0.1571  3 Er 2.63-2.64, 1 O 2.79
O 0.1898 0.6837 0.7069  1 Te 2.18, 2 Er 2.27-2.33
O 0.3163 0.8102 0.2931  1 Te 2.18, 2 Er 2.27-2.33
O 0.3288 0.3288 0.3289  1 Te 2.05, 2 Er 2.17
O 0.6712 0.6712 0.6711  1 Te 2.05, 2 Er 2.17
O 0.6837 0.1898 0.7069  1 Te 2.18, 2 Er 2.27-2.33
O 0.8102 0.3163 0.2931  1 Te 2.18, 2 Er 2.27-2.33

Raw formation energy (eV/atom): -2.29

First-principles (PBE-GGA) data for PmPdPb2 after structural relaxation, as listed in Alexandria via LeMat-Bulk.

Cell: 5.2155 5.2155 5.2155 Å, 60.00 60.00 60.00°
Last column: nearest neighbours and their distance in Å.
Element x y z (fractional)
Pm 0.0000 0.0000 0.0000  8 Pb 3.19
Pd 0.5000 0.5000 0.5000  8 Pb 3.19
Pb 0.2500 0.2500 0.2500  4 Pd 3.19, 4 Pm 3.19
Pb 0.7500 0.7500 0.7500  4 Pm 3.19, 4 Pd 3.19

Energy relative to the lowest polymorph listed for this composition (eV per atom): 0.232
Formation energy from the elements (eV per atom): -0.292

First-principles (PBE-GGA) data for Te4PSe after structural relaxation, as listed in Alexandria via LeMat-Bulk.

Cell: 6.2043 6.2043 6.2043 Å, 60.00 60.00 60.00°
Last column: nearest neighbours and their distance in Å.
Element x y z (fractional)
Te 0.3757 0.3757 0.3757  6 Te 3.09-3.12
Te 0.3757 0.3757 0.8730  6 Te 3.09-3.12
Te 0.3757 0.8730 0.3757  6 Te 3.09-3.12
Te 0.8730 0.3757 0.3757  6 Te 3.09-3.12
P 0.0000 0.0000 0.0000  12 Te 3.64, 4 Se 3.80
Se 0.7500 0.7500 0.7500  12 Te 3.64, 4 P 3.80

Raw formation energy (eV/atom): 0.90

First-principles (PBE-GGA) data for NdTmNiPt after structural relaxation, as listed in Alexandria via LeMat-Bulk.

Cell: 4.4462 5.4554 5.4554 Å, 41.59 90.00 90.00°
Last column: nearest neighbours and their distance in Å.
Element x y z (fractional)
Nd 0.0000 0.0000 0.0000  3 Ni 2.82-2.99, 4 Pt 3.03
Tm 0.5000 0.7189 0.7189  3 Pt 2.90-2.95, 4 Ni 3.01
Ni 0.0000 0.2764 0.2764  2 Pt 2.72, 3 Nd 2.82-2.99, 4 Tm 3.01
Pt 0.5000 0.4301 0.4301  2 Ni 2.72, 3 Tm 2.90-2.95, 4 Nd 3.03

Energy relative to the lowest polymorph listed for this composition (eV per atom): 0.000
Formation energy from the elements (eV per atom): -0.812

First-principles (PBE-GGA) data for Cu2HgW after structural relaxation, as listed in Alexandria via LeMat-Bulk.

Cell: 2.7622 4.6485 4.9385 Å, 90.00 90.00 90.00°
Last column: nearest neighbours and their distance in Å.
Element x y z (fractional)
Cu 0.0000 0.0000 0.0000  4 W 2.70, 6 Cu 2.76-2.83
Cu 0.5000 0.0000 0.5000  4 Hg 2.70, 6 Cu 2.76-2.83
Hg 0.0000 0.5000 0.5000  4 Cu 2.70, 2 Hg 2.76, 4 W 2.83
W 0.5000 0.5000 0.0000  4 Cu 2.70, 2 W 2.76, 4 Hg 2.83

Formation energy from the elements (eV per atom): 0.666

First-principles (PBE-GGA) data for NiAu2 after structural relaxation, as listed in Alexandria via LeMat-Bulk.

Cell: 5.9450 5.9450 5.9450 Å, 151.72 151.72 40.42°
Last column: nearest neighbours and their distance in Å.
Element x y z (fractional)
Ni 0.0000 0.0000 0.0000  8 Au 2.68, 4 Ni 2.90
Au 0.3461 0.3461 0.0000  4 Ni 2.68, 8 Au 2.90-2.97
Au 0.6539 0.6539 0.0000  4 Ni 2.68, 8 Au 2.90-2.97

Formation energy from the elements (eV per atom): 0.071

First-principles (PBE-GGA) data for Mn2CrC after structural relaxation, as listed in Alexandria via LeMat-Bulk.

Cell: 6.5727 6.5727 6.5727 Å, 24.08 24.08 24.08°
Last column: nearest neighbours and their distance in Å.
Element x y z (fractional)
Mn 0.2260 0.2260 0.2260  3 C 1.95
Mn 0.7740 0.7740 0.7740  3 C 1.95
Cr 0.0000 0.0000 0.0000  6 Mn 2.59, 6 Cr 2.74
C 0.5000 0.5000 0.5000  6 Mn 1.95

Formation energy from the elements (eV per atom): 0.164

First-principles (PBE-GGA) data for NaRe3B after structural relaxation, as listed in Alexandria via LeMat-Bulk.

Cell: 4.4330 4.4330 4.4330 Å, 90.00 90.00 90.00°
Last column: nearest neighbours and their distance in Å.
Element x y z (fractional)
Na 0.0000 0.0000 0.0000  6 Re 2.22
Re 0.0000 0.0000 0.5000  2 Na 2.22
Re 0.0000 0.5000 0.0000  2 Na 2.22
Re 0.5000 0.0000 0.0000  2 Na 2.22
B 0.5000 0.5000 0.5000  12 Re 3.13

Energy relative to the lowest polymorph listed for this composition (eV per atom): 3.191
Formation energy from the elements (eV per atom): 4.001

First-principles (PBE-GGA) data for Mg2SnPt after structural relaxation, as listed in Alexandria via LeMat-Bulk.

Cell: 6.2710 6.2710 6.2710 Å, 101.76 101.76 126.32°
Last column: nearest neighbours and their distance in Å.
Element x y z (fractional)
Mg 0.0691 0.1250 0.4441  2 Pt 2.60
Mg 0.3750 0.9309 0.0559  2 Pt 2.60
Mg 0.6809 0.6250 0.5559  2 Pt 2.60
Mg 0.8750 0.3191 0.9441  2 Pt 2.60
Sn 0.2500 0.7500 0.5000  2 Pt 2.83
Sn 0.5000 0.5000 0.0000  2 Pt 2.83
Pt 0.0000 0.0000 0.0000  4 Mg 2.60, 2 Sn 2.83
Pt 0.7500 0.2500 0.5000  4 Mg 2.60, 2 Sn 2.83

Formation energy from the elements (eV per atom): -0.229

First-principles (PBE-GGA) data for La2Si4Ni3Ir after structural relaxation, as listed in Alexandria via LeMat-Bulk.

Cell: 4.0836 4.0836 9.9277 Å, 90.00 90.00 90.00°
Last column: nearest neighbours and their distance in Å.
Element x y z (fractional)
La 0.0000 0.5000 0.2407  6 Ni 3.12-3.29, 8 Si 3.14-3.15, 2 Ir 3.29
La 0.5000 0.0000 0.7593  6 Ni 3.12-3.29, 8 Si 3.14-3.15, 2 Ir 3.29
Si 0.0000 0.0000 0.0000  4 Ni 2.37
Si 0.0000 0.5000 0.6320  3 Ni 2.43-2.46, 2 Ir 2.43
Si 0.5000 0.0000 0.3680  3 Ni 2.43-2.46, 2 Ir 2.43
Si 0.5000 0.5000 0.0000  4 Ni 2.37
Ni 0.0000 0.5000 0.8796  5 Si 2.37-2.46
Ni 0.5000 0.0000 0.1204  5 Si 2.37-2.46
Ni 0.5000 0.5000 0.5000  4 Si 2.43
Ir 0.0000 0.0000 0.5000  4 Si 2.43

Raw formation energy (eV/atom): -0.85

First-principles (PBE-GGA) data for Mg7In3Ga2 after structural relaxation, as listed in Alexandria via LeMat-Bulk.

Cell: 12.9057 12.9057 4.7816 Å, 90.00 90.00 157.86°
Last column: nearest neighbours and their distance in Å.
Element x y z (fractional)
Mg 0.0000 0.0000 0.0000  2 Ga 3.03, 8 Mg 3.08-3.19
Mg 0.0767 0.9233 0.5000  2 Ga 2.63
Mg 0.2220 0.7780 0.0000  1 Ga 2.60, 2 Mg 2.86
Mg 0.4207 0.5793 0.0000  2 Ga 2.68
Mg 0.5793 0.4207 0.0000  2 Ga 2.68
Mg 0.7780 0.2220 0.0000  1 Ga 2.60, 2 Mg 2.86
Mg 0.9233 0.0767 0.5000  2 Ga 2.63
In 0.3234 0.6766 0.5000  10 Mg 3.43-3.63, 4 Ga 3.73
In 0.5000 0.5000 0.5000  12 Mg 3.12-3.44
In 0.6766 0.3234 0.5000  10 Mg 3.43-3.63, 4 Ga 3.73
Ga 0.1195 0.8805 0.0000  5 Mg 2.60-2.68
Ga 0.8805 0.1195 0.0000  5 Mg 2.60-2.68

Formation energy from the elements (eV per atom): 0.066

First-principles (PBE-GGA) data for Mn2GaNi2 after structural relaxation, as listed in Alexandria via LeMat-Bulk.

Cell: 5.7627 5.7627 5.7627 Å, 144.69 144.69 50.80°
Last column: nearest neighbours and their distance in Å.
Element x y z (fractional)
Mn 0.0955 0.0955 0.0000  1 Mn 1.99
Mn 0.9045 0.9045 0.0000  1 Mn 1.99
Ga 0.5000 0.5000 0.0000  8 Mn 2.66
Ni 0.2500 0.7500 0.5000  4 Mn 2.38, 4 Ni 2.47
Ni 0.7500 0.2500 0.5000  4 Mn 2.38, 4 Ni 2.47

Formation energy from the elements (eV per atom): 0.300

First-principles (PBE-GGA) data for AlCBr2F after structural relaxation, as listed in Alexandria via LeMat-Bulk.

Cell: 4.8370 4.8370 3.8239 Å, 90.00 90.00 90.00°
Last column: nearest neighbours and their distance in Å.
Element x y z (fractional)
Al 0.0000 0.0000 0.0000  2 C 1.91
C 0.0000 0.0000 0.5000  2 Al 1.91
Br 0.0000 0.5000 0.5000  2 C 2.42
Br 0.5000 0.0000 0.5000  2 C 2.42
F 0.5000 0.5000 0.0000  8 Br 3.08, 4 Al 3.42

Raw formation energy (eV/atom): 0.41

First-principles (PBE-GGA) data for ZrScRh2 after structural relaxation, as listed in Alexandria via LeMat-Bulk.

Cell: 3.6400 3.6400 5.6248 Å, 90.00 90.00 90.00°
Last column: nearest neighbours and their distance in Å.
Element x y z (fractional)
Zr 0.0000 0.0000 0.0000  6 Rh 2.70-2.84
Sc 0.5000 0.5000 0.6316  6 Rh 2.67-2.88
Rh 0.0000 0.0000 0.5046  4 Sc 2.67, 2 Zr 2.79-2.84
Rh 0.5000 0.5000 0.1435  4 Zr 2.70, 2 Sc 2.75-2.88

Formation energy from the elements (eV per atom): -0.637

First-principles (PBE-GGA) data for Li2FeSnCl6 after structural relaxation, as listed in Alexandria via LeMat-Bulk.

Cell: 7.1315 7.1315 7.1315 Å, 54.96 54.96 54.96°
Last column: nearest neighbours and their distance in Å.
Element x y z (fractional)
Li 0.0000 0.0000 0.0000  6 Cl 2.48-2.76
Li 0.4928 0.4928 0.4928  6 Cl 2.55-2.76
Fe 0.6899 0.6899 0.6899  6 Cl 2.48-2.52
Sn 0.1961 0.1961 0.1961  6 Cl 2.81-2.90
Cl 0.0826 0.4307 0.7627  1 Fe 2.48, 2 Li 2.55-2.76
Cl 0.2916 0.8786 0.6343  2 Li 2.48-2.76, 1 Fe 2.52
Cl 0.4307 0.7627 0.0826  1 Fe 2.48, 2 Li 2.55-2.76
Cl 0.6343 0.2916 0.8786  2 Li 2.48-2.76, 1 Fe 2.52
Cl 0.7627 0.0826 0.4307  1 Fe 2.48, 2 Li 2.55-2.76
Cl 0.8786 0.6343 0.2916  2 Li 2.48-2.76, 1 Fe 2.52

Raw formation energy (eV/atom): -1.19

First-principles (PBE-GGA) data for Bi2RhF after structural relaxation, as listed in Alexandria via LeMat-Bulk.

Cell: 7.9747 7.9747 7.9747 Å, 139.91 139.91 58.00°
Last column: nearest neighbours and their distance in Å.
Element x y z (fractional)
Bi 0.1191 0.6250 0.9941  2 F 2.59, 2 Rh 2.62
Bi 0.3750 0.3691 0.4941  2 F 2.59, 2 Rh 2.62
Bi 0.6309 0.1250 0.0059  2 F 2.59, 2 Rh 2.62
Bi 0.8750 0.8809 0.5059  2 F 2.59, 2 Rh 2.62
Rh 0.2500 0.7500 0.5000  4 Bi 2.62
Rh 0.5000 0.5000 0.0000  4 Bi 2.62
F 0.0000 0.0000 0.0000  4 Bi 2.59
F 0.7500 0.2500 0.5000  4 Bi 2.59

Energy relative to the lowest polymorph listed for this composition (eV per atom): 0.194
Raw formation energy (eV/atom): -0.49

First-principles (PBE-GGA) data for Sr2Ca2La after structural relaxation, as listed in Alexandria via LeMat-Bulk.

Cell: 10.4719 10.4719 4.2505 Å, 90.00 90.00 90.00°
Last column: nearest neighbours and their distance in Å.
Element x y z (fractional)
Sr 0.1723 0.3277 0.0000  6 Ca 3.66-3.82
Sr 0.3277 0.8277 0.0000  6 Ca 3.66-3.82
Sr 0.6723 0.1723 0.0000  6 Ca 3.66-3.82
Sr 0.8277 0.6723 0.0000  6 Ca 3.66-3.82
Ca 0.1269 0.6269 0.5000  6 Sr 3.66-3.82, 1 Ca 3.76
Ca 0.3731 0.1269 0.5000  6 Sr 3.66-3.82, 1 Ca 3.76
Ca 0.6269 0.8731 0.5000  6 Sr 3.66-3.82, 1 Ca 3.76
Ca 0.8731 0.3731 0.5000  6 Sr 3.66-3.82, 1 Ca 3.76
La 0.0000 0.0000 0.5000  4 Ca 4.13, 2 La 4.25, 8 Sr 4.42
La 0.5000 0.5000 0.5000  4 Ca 4.13, 2 La 4.25, 8 Sr 4.42

Energy relative to the lowest polymorph listed for this composition (eV per atom): 0.000
Formation energy from the elements (eV per atom): 0.225